Entry from Alexandria: an optimized crystal structure of Tm2U2Fe5 (PBE).

a = 4.1588 Å, b = 5.6567 Å, c = 8.5746 Å
α = 105.21°, β = 90.00°, γ = 111.57°
Each line ends with the local moment (μB).
Positions (direct):
Tm  0.4046  0.8092  0.6468  -0.05
Tm  0.5954  0.1908  0.3532  -0.05
U  0.1756  0.3513  0.8489  -0.20
U  0.8244  0.6487  0.1511  -0.20
Fe  0.3844  0.7689  0.9731  0.26
Fe  0.6156  0.2311  0.0269  0.26
Fe  0.0992  0.1985  0.6011  0.04
Fe  0.9008  0.8015  0.3989  0.04
Fe  0.0000  0.0000  0.0000  1.47

Values from the calculation:
- D(E_F): 7.4 states/eV/f.u.
- ΔE_f: 0.747 eV/f.u.